No. 1
BeZnCoHg: optimized geometry, PBE.

Geometry as extended XYZ:
```
4
Lattice="2.3082 1.4339 3.2649 -1.6298 -0.0161 3.9226 1.4862 -2.7181 2.9063" Properties=species:S:1:pos:R:3 pbc="T T T"
Be 0.5411 -0.3251 2.5234
Co 1.6234 -0.9753 7.5703
Hg 1.0823 -0.6502 5.0469
Zn 0.0000 0.0000 0.0000
```

Results
Space group   F-43m (216)
Total energy   -11.1 eV/cell
E above lowest polymorph   0.09 eV/f.u.

***

No. 2
HoBeCo: optimized geometry, PBE.

Geometry as extended XYZ:
```
3
Lattice="0.0000 2.9203 2.9203 2.9203 0.0000 2.9203 2.9203 2.9203 0.0000" Properties=species:S:1:pos:R:3 pbc="T T T"
Be 0.0000 0.0000 0.0000
Co 1.4601 1.4601 1.4601
Ho 4.3804 4.3804 4.3804
```

Results
Space group   F-43m (216)
Total energy   -14.6 eV/cell
E above lowest polymorph   0.00 eV/f.u.